(1)
VASP calculation (PBE) on a relaxed K2BaPa2O7 crystal.

The space group is I4/mmm (No. 139) and the conventional cell measures 4.478, 4.478 and 22.310 Å, with angles of 90.00, 90.00 and 90.00 degrees. The inequivalent atoms are K at (0.000, 0.500, 0.250), Ba at (0.000, 0.000, 0.000), Pa at (0.000, 0.000, 0.401), O at (0.000, 0.000, 0.309), O at (0.000, 0.000, 0.500) and O at (0.000, 0.500, 0.089).

As for the density of states at the Fermi level: 0.000 states/eV per atom. Its uncorrected energy is -7.841 eV per atom. The energy relative to the elements, uncorrected comes out at -291.6 kJ per mole of atoms.

---

(2)
VASP calculation (PBE) on a relaxed K4BaPa3O12 crystal.

The space group is Im-3m (No. 229) and the conventional cell measures 9.034, 9.034 and 9.034 Å, with angles of 90.00, 90.00 and 90.00 degrees. The inequivalent atoms are K at (0.250, 0.250, 0.250), Ba at (0.000, 0.000, 0.000), Pa at (0.000, 0.000, 0.500), O at (0.000, 0.000, 0.279) and O at (0.000, 0.250, 0.500).

As for the density of states at the Fermi level: 0.799 states/eV per atom. Its uncorrected energy is -7.339 eV per atom. The energy relative to the elements, uncorrected comes out at -253.2 kJ per mole of atoms.

---

(3)
VASP calculation (PBE) on a relaxed KBa4Pa3O12 crystal.

The space group is Im-3m (No. 229) and the conventional cell measures 9.052, 9.052 and 9.052 Å, with angles of 90.00, 90.00 and 90.00 degrees. The inequivalent atoms are K at (0.000, 0.000, 0.000), Ba at (0.250, 0.250, 0.250), Pa at (0.000, 0.000, 0.500), O at (0.000, 0.000, 0.275) and O at (0.000, 0.250, 0.500).

As for the density of states at the Fermi level: 0.000 states/eV per atom. Its uncorrected energy is -7.970 eV per atom. The energy relative to the elements, uncorrected comes out at -302.1 kJ per mole of atoms.

---

(4)
VASP calculation (PBE) on a relaxed K2BaPaO4 crystal.

The space group is P2/m (No. 10) and the conventional cell measures 7.042, 3.648 and 7.210 Å, with angles of 90.00, 115.69 and 90.00 degrees. The inequivalent atoms are K at (0.000, 0.000, 0.000), K at (0.500, 0.500, 0.000), Ba at (0.000, 0.500, 0.500), Pa at (0.500, 0.000, 0.500), O at (0.307, 0.500, 0.319) and O at (0.318, 0.000, 0.667).

As for the density of states at the Fermi level: 0.364 states/eV per atom. Its uncorrected energy is -6.663 eV per atom. The energy relative to the elements, uncorrected comes out at -239.5 kJ per mole of atoms.

---

(5)
VASP calculation (PBE) on a relaxed KBa3Pa2O9 crystal.

The space group is P-3m1 (No. 164) and the conventional cell measures 6.4115, 6.4115 and 7.8779 Å, with angles of 90.00, 90.00 and 120.00 degrees. The inequivalent atoms are K at (0.0000, 0.0000, 0.0000), Ba at (0.0000, 0.0000, 0.5000), Ba at (0.3333, 0.6667, 0.1302), Pa at (0.3333, 0.6667, 0.6600), O at (0.0000, 0.5000, 0.5000) and O at (0.1823, 0.3646, 0.8175).

As for the density of states at the Fermi level: 0.800 states/eV per atom. Its uncorrected energy is -7.573 eV per atom. The energy relative to the elements, uncorrected comes out at -277.3 kJ per mole of atoms.

---

(6)
VASP calculation (PBE) on a relaxed K4Ba3PaO8 crystal.

The space group is R-3m (No. 166, hexagonal axes) and the conventional cell measures 7.7496, 7.7496 and 18.9649 Å, with angles of 90.00, 90.00 and 120.00 degrees. The inequivalent atoms are K at (0.0000, 0.0000, 0.0000), K at (0.0000, 0.5000, 0.0000), Ba at (0.0000, 0.5000, 0.5000), Pa at (0.0000, 0.0000, 0.5000), O at (0.0000, 0.0000, 0.2392) and O at (0.0544, 0.5272, 0.2311).

As for the density of states at the Fermi level: 1.151 states/eV per atom. Its uncorrected energy is -5.973 eV per atom. The energy relative to the elements, uncorrected comes out at -218.5 kJ per mole of atoms.

---

(7)
VASP calculation (PBE) on a relaxed KBaPaO4 crystal.

The space group is I4mm (No. 107) and the conventional cell measures 4.457, 4.457 and 13.541 Å, with angles of 90.00, 90.00 and 90.00 degrees. The inequivalent atoms are K at (0.000, 0.000, 0.000), Ba at (0.000, 0.000, 0.301), Pa at (0.000, 0.000, 0.647), O at (0.000, 0.000, 0.493), O at (0.000, 0.000, 0.804) and O at (0.000, 0.500, 0.159).

As for the density of states at the Fermi level: 0.000 states/eV per atom. Its uncorrected energy is -7.626 eV per atom. The energy relative to the elements, uncorrected comes out at -289.9 kJ per mole of atoms.

---

(8)
VASP calculation (PBE) on a relaxed K3Ba2PaO6 crystal.

The space group is C2/m (No. 12) and the conventional cell measures 6.664, 11.582 and 6.684 Å, with angles of 90.00, 109.56 and 90.00 degrees. The inequivalent atoms are K at (0.000, 0.000, 0.000), K at (0.000, 0.343, 0.000), Ba at (0.000, 0.167, 0.500), Pa at (0.000, 0.500, 0.500), O at (0.204, 0.362, 0.698) and O at (0.214, 0.500, 0.307).

As for the density of states at the Fermi level: 0.000 states/eV per atom. Its uncorrected energy is -6.392 eV per atom. The energy relative to the elements, uncorrected comes out at -243.8 kJ per mole of atoms.